A relaxed structure of ScGeSe3. Source: the Alexandria database, functional PBE.

a b c (Å): 4.9495 4.9495 4.9495
angles (deg): 90.00 90.00 90.00
Space group Pm-3m (No. 221)
Asymmetric unit:
Sc1 0.0000 0.0000 0.0000 x1
Ge1 0.5000 0.5000 0.5000 x1
Se1 0.0000 0.5000 0.5000 x3

- Energy above the most stable polymorph in this dataset: 0.7629 eV/atom
- Formation energy without anion corrections: -0.144 eV per atom
- Density of states at the Fermi level: 0.35 states/eV/atom

***

A relaxed structure of Ba4Na2Ag. Source: the Alexandria database, functional PBE.

a b c (Å): 6.3800 6.3800 19.9596
angles (deg): 90.00 90.00 90.00
Space group I4/mmm (No. 139)
Asymmetric unit:
Ba1 0.0000 0.0000 0.1723 x4
Ba2 0.0000 0.5000 0.0000 x4
Na1 0.0000 0.0000 0.3720 x4
Ag1 0.0000 0.0000 0.0000 x2

- Energy above the most stable polymorph in this dataset: 0.0598 eV/atom
- Density of states at the Fermi level: 1.06 states/eV/atom
- ΔH_f (0 K): 0.020 eV per atom

***

A relaxed structure of Sr4TcCl. Source: the Alexandria database, functional PBE.

a b c (Å): 10.2632 10.2632 10.2632
angles (deg): 90.00 90.00 90.00
Space group F-43m (No. 216)
Asymmetric unit:
Sr1 0.1236 0.1236 0.1236 x16
Tc1 0.2500 0.2500 0.7500 x4
Cl1 0.0000 0.0000 0.5000 x4

- Formation energy without anion corrections: 0.808 eV per atom
- Density of states at the Fermi level: 1.75 states/eV/atom

***

A relaxed structure of MgSe. Source: the Alexandria database, functional PBE.

a b c (Å): 3.7377 8.0473 3.6680
angles (deg): 90.00 90.00 90.00
Space group Cmmm (No. 65)
Asymmetric unit:
Mg1 0.0000 0.0000 0.0000 x2
Se1 0.0000 0.5000 0.5000 x2

- Formation energy without anion corrections: -0.894 eV per atom

***

Table of V (Å³/cell), in record order: 121, 812, 1081, 110
Table of theoretical density (g/cm³), in record order: 4.85, 2.87, 2.97, 3.11